No. 1
Entry from Alexandria via LeMat-Bulk: a relaxed TcPBr2 crystal (PBE).

abc: 4.660 4.660 4.660
angles: 60.00 60.00 60.00
Element x y z (fractional)
Tc: 0.000 0.000 0.000
P: 0.500 0.500 0.500
Br: 0.250 0.250 0.250
Br: 0.750 0.750 0.750

Calculated values
* uncorrected formation energy: 4.367 eV/f.u.
* DOS at the Fermi energy: 3.51 states/eV/cell

No. 2
Entry from Alexandria via LeMat-Bulk: a relaxed NaPmGdIr crystal (PBE).

abc: 5.116 5.116 5.116
angles: 60.00 60.00 60.00
Element x y z (fractional)
Na: 0.000 0.000 0.000
Pm: 0.250 0.250 0.250
Gd: 0.750 0.750 0.750
Ir: 0.500 0.500 0.500

Calculated values
* DOS at the Fermi energy: 3.36 states/eV/cell
* energy of formation from the pure elements: -0.237 eV per atom

No. 3
Entry from Alexandria via LeMat-Bulk: a relaxed Ho2Mg3Pd2 crystal (PBE).

abc: 5.492 5.492 7.529
angles: 110.35 110.35 46.55
Element x y z (fractional)
Ho: 0.143 0.143 0.289
Ho: 0.857 0.857 0.711
Mg: 0.367 0.367 0.058
Mg: 0.500 0.500 0.500
Mg: 0.633 0.633 0.942
Pd: 0.150 0.150 0.695
Pd: 0.850 0.850 0.305

Calculated values
* DOS at the Fermi energy: 3.87 states/eV/cell
* energy of formation from the pure elements: -0.589 eV per atom

No. 4
Entry from Alexandria via LeMat-Bulk: a relaxed CeInAgPb crystal (PBE).

abc: 5.279 5.279 5.279
angles: 60.00 60.00 60.00
Element x y z (fractional)
Ce: 0.000 0.000 0.000
In: 0.500 0.500 0.500
Ag: 0.250 0.250 0.250
Pb: 0.750 0.750 0.750

Calculated values
* DOS at the Fermi energy: 7.61 states/eV/cell
* energy of formation from the pure elements: -0.156 eV per atom

No. 5
Entry from Alexandria via LeMat-Bulk: a relaxed SbO crystal (PBE).

abc: 7.591 7.297 5.005
angles: 73.56 67.21 39.23
Element x y z (fractional)
Sb: 0.092 0.658 0.092
Sb: 0.342 0.908 0.342
Sb: 0.658 0.092 0.658
Sb: 0.908 0.342 0.908
O: 0.029 0.029 0.221
O: 0.221 0.221 0.029
O: 0.779 0.779 0.971
O: 0.971 0.971 0.779

Calculated values
* uncorrected formation energy: -1.616 eV/f.u.
* DOS at the Fermi energy: 1.08 states/eV/cell

No. 6
Entry from Alexandria via LeMat-Bulk: a relaxed ThPaV4 crystal (PBE).

abc: 5.360 5.360 5.360
angles: 60.00 60.00 60.00
Element x y z (fractional)
Th: 0.000 0.000 0.000
Pa: 0.250 0.250 0.250
V: 0.129 0.624 0.624
V: 0.624 0.129 0.624
V: 0.624 0.624 0.129
V: 0.624 0.624 0.624

Calculated values
* DOS at the Fermi energy: 9.40 states/eV/cell
* energy of formation from the pure elements: 0.117 eV per atom

No. 7
Entry from Alexandria via LeMat-Bulk: a relaxed Ru3AuBr crystal (PBE).

abc: 4.561 4.561 4.561
angles: 90.00 90.00 90.00
Element x y z (fractional)
Ru: 0.000 0.000 0.500
Ru: 0.000 0.500 0.000
Ru: 0.500 0.000 0.000
Au: 0.500 0.500 0.500
Br: 0.000 0.000 0.000

Calculated values
* uncorrected formation energy: 7.508 eV/f.u.
* DOS at the Fermi energy: 4.92 states/eV/cell

No. 8
Entry from Alexandria via LeMat-Bulk: a relaxed KPm6Pb4 crystal (PBE).

abc: 9.955 9.955 4.443
angles: 90.00 90.00 120.00
Element x y z (fractional)
K: 0.000 0.000 0.000
Pm: 0.196 0.391 0.500
Pm: 0.196 0.804 0.500
Pm: 0.537 0.074 0.000
Pm: 0.537 0.463 0.000
Pm: 0.609 0.804 0.500
Pm: 0.926 0.463 0.000
Pb: 0.333 0.667 0.000
Pb: 0.353 0.177 0.500
Pb: 0.823 0.177 0.500
Pb: 0.823 0.647 0.500

Calculated values
* DOS at the Fermi energy: 9.96 states/eV/cell
* energy of formation from the pure elements: -0.290 eV per atom

No. 9
Entry from Alexandria via LeMat-Bulk: a relaxed Pr4HoPu3Se8 crystal (PBE).

abc: 8.369 8.369 8.401
angles: 119.80 119.80 60.03
Element x y z (fractional)
Pr: 0.000 0.000 0.000
Pr: 0.000 0.500 0.500
Pr: 0.500 0.000 0.500
Pr: 0.500 0.500 0.000
Ho: 0.000 0.000 0.500
Pu: 0.000 0.500 0.000
Pu: 0.500 0.000 0.000
Pu: 0.500 0.500 0.500
Se: 0.244 0.244 0.751
Se: 0.244 0.750 0.256
Se: 0.250 0.756 0.744
Se: 0.253 0.253 0.246
Se: 0.747 0.747 0.754
Se: 0.750 0.244 0.256
Se: 0.756 0.250 0.744
Se: 0.756 0.756 0.249

Calculated values
* uncorrected formation energy: -27.574 eV/f.u.
* DOS at the Fermi energy: 30.55 states/eV/cell

No. 10
Entry from Alexandria via LeMat-Bulk: a relaxed Pm4CBr3 crystal (PBE).

abc: 5.601 10.349 8.285
angles: 90.00 90.00 90.00
Element x y z (fractional)
Pm: 0.250 0.040 0.207
Pm: 0.250 0.250 0.843
Pm: 0.250 0.460 0.207
Pm: 0.250 0.750 0.895
Pm: 0.750 0.250 0.105
Pm: 0.750 0.540 0.793
Pm: 0.750 0.750 0.157
Pm: 0.750 0.960 0.793
C: 0.250 0.250 0.121
C: 0.750 0.750 0.879
Br: 0.250 0.523 0.638
Br: 0.250 0.750 0.270
Br: 0.250 0.977 0.638
Br: 0.750 0.023 0.362
Br: 0.750 0.250 0.730
Br: 0.750 0.477 0.362

Calculated values
* uncorrected formation energy: -7.129 eV/f.u.
* DOS at the Fermi energy: 7.32 states/eV/cell

Number 1: total energy -14.75 eV per cell, size of the total moment 0.00 μB per formula unit. Number 2: total energy -29.96 eV per cell, size of the total moment 7.27 μB per formula unit. Number 3: total energy -28.45 eV per cell, size of the total moment 0.00 μB per formula unit. Number 4: total energy -15.86 eV per cell, size of the total moment 0.96 μB per formula unit. Number 5: total energy -42.79 eV per cell, size of the total moment 0.00 μB per formula unit. Number 6: total energy -52.69 eV per cell, size of the total moment 0.00 μB per formula unit. Number 7: total energy -25.27 eV per cell, size of the total moment 3.61 μB per formula unit. Number 8: total energy -47.63 eV per cell, size of the total moment 3.09 μB per formula unit. Number 9: total energy -122.14 eV per cell, size of the total moment 5.74 μB per formula unit. Number 10: total energy -80.75 eV per cell, size of the total moment 0.00 μB per formula unit.